# 1
Here is crystalline RbLiSe at its relaxed geometry from the Alexandria database. Energies are from PBE.

## Properties
Its crystal system is hexagonal. Its formation energy (no corrections) is -1.130 eV/atom.

CIF file:
```
data_RbLiSe
_cell_length_a 4.4328
_cell_length_b 4.4328
_cell_length_c 5.1077
_cell_angle_alpha 90.00
_cell_angle_beta 90.00
_cell_angle_gamma 120.00
_symmetry_space_group_name_H-M 'P -6 m 2'
_symmetry_Int_Tables_number 187
_symmetry_space_group_name_Hall 'P -6 2'
loop_
_atom_site_label
_atom_site_type_symbol
_atom_site_fract_x
_atom_site_fract_y
_atom_site_fract_z
Rb1 Rb 0.0000 0.0000 0.0000
Li1 Li 0.3333 0.6667 0.5000
Se1 Se 0.6667 0.3333 0.5000
```



# 2
Here is crystalline RePtRhPb2 at its relaxed geometry from the Alexandria database. Energies are from PBE.

## Properties
The formation energy from the elements comes out at 1.60 eV per atom. Its crystal system is tetragonal.

CIF file:
```
data_RePtRhPb2
_cell_length_a 5.192
_cell_length_b 5.192
_cell_length_c 4.934
_cell_angle_alpha 90.00
_cell_angle_beta 90.00
_cell_angle_gamma 90.00
_symmetry_space_group_name_H-M 'P 4/m m m'
_symmetry_Int_Tables_number 123
_symmetry_space_group_name_Hall '-P 4 2'
loop_
_atom_site_label
_atom_site_type_symbol
_atom_site_fract_x
_atom_site_fract_y
_atom_site_fract_z
Re1 Re 0.000 0.000 0.000
Pt1 Pt 0.500 0.500 0.500
Rh1 Rh 0.500 0.500 0.000
Pb1 Pb 0.000 0.500 0.500
```



# 3
Here is crystalline Ti3NbC at its relaxed geometry from the Alexandria database. Energies are from PBE.

## Properties
The formation energy from the elements comes out at -0.28 eV per atom. Its crystal system is tetragonal. For the relative energy among the computed polymorphs, the calculation gives 24 meV/atom.

CIF file:
```
data_Ti3NbC
_cell_length_a 3.091
_cell_length_b 3.091
_cell_length_c 7.846
_cell_angle_alpha 90.00
_cell_angle_beta 90.00
_cell_angle_gamma 90.00
_symmetry_space_group_name_H-M 'P 4/m m m'
_symmetry_Int_Tables_number 123
_symmetry_space_group_name_Hall '-P 4 2'
loop_
_atom_site_label
_atom_site_type_symbol
_atom_site_fract_x
_atom_site_fract_y
_atom_site_fract_z
Ti1 Ti 0.000 0.000 0.000
Ti2 Ti 0.500 0.500 0.269
Nb1 Nb 0.000 0.000 0.500
C1 C 0.500 0.500 0.000
```



# 4
Here is crystalline AlCrP2Cl at its relaxed geometry from the Alexandria database. Energies are from PBE.

## Properties
Its crystal system is tetragonal. For the relative energy among the computed polymorphs, the calculation gives 0 meV/atom. Its formation energy (no corrections) is 0.252 eV/atom.

CIF file:
```
data_AlCrP2Cl
_cell_length_a 4.409
_cell_length_b 4.409
_cell_length_c 5.107
_cell_angle_alpha 90.00
_cell_angle_beta 90.00
_cell_angle_gamma 90.00
_symmetry_space_group_name_H-M 'P 4/m m m'
_symmetry_Int_Tables_number 123
_symmetry_space_group_name_Hall '-P 4 2'
loop_
_atom_site_label
_atom_site_type_symbol
_atom_site_fract_x
_atom_site_fract_y
_atom_site_fract_z
Al1 Al 0.000 0.000 0.000
Cr1 Cr 0.500 0.500 0.500
P1 P 0.000 0.500 0.500
Cl1 Cl 0.500 0.500 0.000
```



# 5
Here is crystalline Pm5Sm8Cd at its relaxed geometry from the Alexandria database. Energies are from PBE.

## Properties
The formation energy from the elements comes out at 0.19 eV per atom. Its crystal system is tetragonal.

CIF file:
```
data_Pm5Sm8Cd
_cell_length_a 9.780
_cell_length_b 9.780
_cell_length_c 10.034
_cell_angle_alpha 90.00
_cell_angle_beta 90.00
_cell_angle_gamma 90.00
_symmetry_space_group_name_H-M 'I -4'
_symmetry_Int_Tables_number 82
loop_
_symmetry_equiv_pos_as_xyz
'x,y,z'
'y,-x,-z'
'-x,-y,z'
'-y,x,-z'
'x+1/2,y+1/2,z+1/2'
'y+1/2,-x+1/2,-z+1/2'
'-x+1/2,-y+1/2,z+1/2'
'-y+1/2,x+1/2,-z+1/2'
loop_
_atom_site_label
_atom_site_type_symbol
_atom_site_fract_x
_atom_site_fract_y
_atom_site_fract_z
Pm1 Pm 0.000 0.000 0.000
Pm2 Pm 0.099 0.792 0.419
Sm1 Sm 0.067 0.670 0.087
Sm2 Sm 0.086 0.809 0.753
Cd1 Cd 0.000 0.500 0.750
```



# 6
Here is crystalline CaAc3Tl2 at its relaxed geometry from the Alexandria database. Energies are from PBE.

## Properties
The formation energy from the elements comes out at -0.27 eV per atom. Its crystal system is orthorhombic. For the relative energy among the computed polymorphs, the calculation gives 0 meV/atom.

CIF file:
```
data_CaAc3Tl2
_cell_length_a 5.735
_cell_length_b 10.522
_cell_length_c 7.364
_cell_angle_alpha 90.00
_cell_angle_beta 90.00
_cell_angle_gamma 90.00
_symmetry_space_group_name_H-M 'P m c 21'
_symmetry_Int_Tables_number 26
loop_
_symmetry_equiv_pos_as_xyz
'x,y,z'
'-x,-y,z+1/2'
'-x,y,z'
'x,-y,z+1/2'
loop_
_atom_site_label
_atom_site_type_symbol
_atom_site_fract_x
_atom_site_fract_y
_atom_site_fract_z
Ca1 Ca 0.000 0.042 0.000
Ac1 Ac 0.000 0.320 0.675
Ac2 Ac 0.500 0.167 0.286
Ac3 Ac 0.500 0.460 0.967
Tl1 Tl 0.000 0.346 0.198
Tl2 Tl 0.500 0.151 0.765
```



# 7
Here is crystalline TbPm2YTm at its relaxed geometry from the Alexandria database. Energies are from PBE.

## Properties
The formation energy from the elements comes out at 0.40 eV per atom. Its crystal system is orthorhombic.

CIF file:
```
data_TbPm2YTm
_cell_length_a 8.384
_cell_length_b 11.565
_cell_length_c 7.237
_cell_angle_alpha 90.00
_cell_angle_beta 90.00
_cell_angle_gamma 90.00
_symmetry_space_group_name_H-M 'C m c m'
_symmetry_Int_Tables_number 63
_symmetry_space_group_name_Hall '-C 2c 2'
loop_
_atom_site_label
_atom_site_type_symbol
_atom_site_fract_x
_atom_site_fract_y
_atom_site_fract_z
Tb1 Tb 0.000 0.216 0.250
Pm1 Pm 0.194 0.000 0.000
Y1 Y 0.000 0.240 0.750
Tm1 Tm 0.000 0.481 0.250
```



# 8
Here is crystalline Ce3Os2Rh at its relaxed geometry from the Alexandria database. Energies are from PBE.

## Properties
The formation energy from the elements comes out at -0.26 eV per atom. Its crystal system is monoclinic.

CIF file:
```
data_Ce3Os2Rh
_cell_length_a 12.300
_cell_length_b 5.285
_cell_length_c 8.653
_cell_angle_alpha 90.00
_cell_angle_beta 113.09
_cell_angle_gamma 90.00
_symmetry_space_group_name_H-M 'C 1 2/c 1'
_symmetry_Int_Tables_number 15
loop_
_symmetry_equiv_pos_as_xyz
'x,y,z'
'-x,-y,-z'
'-x,y,-z+1/2'
'x,-y,z+1/2'
'x+1/2,y+1/2,z'
'-x+1/2,-y+1/2,-z'
'-x+1/2,y+1/2,-z+1/2'
'x+1/2,-y+1/2,z+1/2'
loop_
_atom_site_label
_atom_site_type_symbol
_atom_site_fract_x
_atom_site_fract_y
_atom_site_fract_z
Ce1 Ce 0.000 0.244 0.250
Ce2 Ce 0.203 0.028 0.102
Os1 Os 0.124 0.468 0.564
Rh1 Rh 0.000 0.215 0.750
```



# 9
Here is crystalline SrCaSn2Cl8 at its relaxed geometry from the Alexandria database. Energies are from PBE.

## Properties
Its crystal system is triclinic. Its formation energy (no corrections) is -1.706 eV/atom.

CIF file:
```
data_SrCaSn2Cl8
_cell_length_a 6.471
_cell_length_b 6.739
_cell_length_c 8.807
_cell_angle_alpha 90.25
_cell_angle_beta 90.01
_cell_angle_gamma 90.74
_symmetry_space_group_name_H-M 'P -1'
_symmetry_Int_Tables_number 2
loop_
_symmetry_equiv_pos_as_xyz
'x,y,z'
'-x,-y,-z'
loop_
_atom_site_label
_atom_site_type_symbol
_atom_site_fract_x
_atom_site_fract_y
_atom_site_fract_z
Sr1 Sr 0.000 0.000 0.000
Ca1 Ca 0.000 0.000 0.500
Sn1 Sn 0.497 0.509 0.256
Cl1 Cl 0.202 0.186 0.262
Cl2 Cl 0.239 0.144 0.739
Cl3 Cl 0.266 0.679 0.472
Cl4 Cl 0.277 0.664 0.027
```



# 10
Here is crystalline SnBiC2 at its relaxed geometry from the Alexandria database. Energies are from PBE.

## Properties
The formation energy from the elements comes out at 2.18 eV per atom. Its crystal system is cubic. For the relative energy among the computed polymorphs, the calculation gives 856 meV/atom.

CIF file:
```
data_SnBiC2
_cell_length_a 6.370
_cell_length_b 6.370
_cell_length_c 6.370
_cell_angle_alpha 90.00
_cell_angle_beta 90.00
_cell_angle_gamma 90.00
_symmetry_space_group_name_H-M 'F m -3 m'
_symmetry_Int_Tables_number 225
_symmetry_space_group_name_Hall '-F 4 2 3'
loop_
_atom_site_label
_atom_site_type_symbol
_atom_site_fract_x
_atom_site_fract_y
_atom_site_fract_z
Sn1 Sn 0.000 0.000 0.000
Bi1 Bi 0.000 0.000 0.500
C1 C 0.250 0.250 0.250
```



# 11
Here is crystalline Tm2Al2Si2C at its relaxed geometry from the Alexandria database. Energies are from PBE.

## Properties
Its crystal system is tetragonal. Its formation energy (no corrections) is -0.440 eV/atom.

CIF file:
```
data_Tm2Al2Si2C
_cell_length_a 4.083
_cell_length_b 4.083
_cell_length_c 14.515
_cell_angle_alpha 90.00
_cell_angle_beta 90.00
_cell_angle_gamma 90.00
_symmetry_space_group_name_H-M 'I 4/m m m'
_symmetry_Int_Tables_number 139
_symmetry_space_group_name_Hall '-I 4 2'
loop_
_atom_site_label
_atom_site_type_symbol
_atom_site_fract_x
_atom_site_fract_y
_atom_site_fract_z
Tm1 Tm 0.000 0.000 0.162
Al1 Al 0.000 0.500 0.000
Si1 Si 0.000 0.000 0.369
C1 C 0.000 0.000 0.000
```



# 12
Here is crystalline Hf2Mg2As at its relaxed geometry from the Alexandria database. Energies are from PBE.

## Properties
The formation energy from the elements comes out at 0.18 eV per atom. Its crystal system is tetragonal. For the relative energy among the computed polymorphs, the calculation gives 352 meV/atom.

CIF file:
```
data_Hf2Mg2As
_cell_length_a 3.656
_cell_length_b 3.656
_cell_length_c 16.081
_cell_angle_alpha 90.00
_cell_angle_beta 90.00
_cell_angle_gamma 90.00
_symmetry_space_group_name_H-M 'I 4/m m m'
_symmetry_Int_Tables_number 139
_symmetry_space_group_name_Hall '-I 4 2'
loop_
_atom_site_label
_atom_site_type_symbol
_atom_site_fract_x
_atom_site_fract_y
_atom_site_fract_z
Hf1 Hf 0.000 0.000 0.089
Mg1 Mg 0.000 0.500 0.250
As1 As 0.000 0.000 0.500
```



Number 1: M_tot 0.00 μB/cell. Number 2: M_tot 3.52 μB/cell. Number 3: M_tot 0.00 μB/cell. Number 4: M_tot 0.81 μB/cell. Number 5: M_tot 0.00 μB/cell. Number 6: M_tot 0.00 μB/cell. Number 7: M_tot 0.00 μB/cell. Number 8: M_tot 0.00 μB/cell. Number 9: M_tot 0.00 μB/cell. Number 10: M_tot 0.00 μB/cell. Number 11: M_tot 0.00 μB/cell. Number 12: M_tot 1.83 μB/cell.